1.
Computed, not measured: a geometry-optimized Ba6As2PdN structure at the PBE level of DFT.

Summary:
D(E_F) ... 2.595 states/eV/f.u.
Uncorrected formation energy ... -0.719 eV/atom
Crystal system ... monoclinic
Symmetry ... P2_1/c, No. 14
Raw total energy ... -4.15 eV/atom

Structure (POSCAR):
```
Ba6As2PdN
1.0
7.6671 0.0000 0.0000
0.0000 8.4927 0.0000
-7.5931 0.0000 11.1230
Ba As Pd N
12 4 2 2
direct
0.1017 0.0479 0.2319 Ba
0.1017 0.4521 0.7319 Ba
0.2295 0.7037 0.0643 Ba
0.2295 0.7963 0.5643 Ba
0.3608 0.1712 0.0636 Ba
0.3608 0.3288 0.5636 Ba
0.6392 0.6712 0.4364 Ba
0.6392 0.8288 0.9364 Ba
0.7705 0.2037 0.4357 Ba
0.7705 0.2963 0.9357 Ba
0.8983 0.5479 0.2681 Ba
0.8983 0.9521 0.7681 Ba
0.2907 0.0930 0.7499 As
0.2907 0.4070 0.2499 As
0.7093 0.5930 0.7501 As
0.7093 0.9070 0.2501 As
0.5000 0.0000 0.5000 Pd
0.5000 0.5000 0.0000 Pd
0.0000 0.0000 0.0000 N
0.0000 0.5000 0.5000 N
```

***

2.
Computed, not measured: a geometry-optimized Tb2PrSm2Y4 structure at the PBE level of DFT.

Summary:
D(E_F) ... 12.472 states/eV/f.u.
ΔH_f (0 K) ... -0.005 eV/atom
Crystal system ... monoclinic
Symmetry ... C2/m, No. 12
Raw total energy ... -5.49 eV/atom

Structure (POSCAR):
```
Tb2PrSm2Y4
1.0
9.4197 -1.8141 0.0000
9.4197 1.8141 0.0000
-4.1874 0.0000 8.6856
Tb Pr Sm Y
2 1 2 4
direct
0.1481 0.1481 0.1654 Tb
0.8519 0.8519 0.8346 Tb
0.0000 0.0000 0.5000 Pr
0.3326 0.3326 0.5004 Sm
0.6674 0.6674 0.4996 Sm
0.1861 0.1861 0.8356 Y
0.4807 0.4807 0.1631 Y
0.5193 0.5193 0.8369 Y
0.8139 0.8139 0.1644 Y
```

***

3.
Computed, not measured: a geometry-optimized SrPm2SeO8 structure at the PBE level of DFT.

Summary:
D(E_F) ... 0.000 states/eV/f.u.
Uncorrected formation energy ... -2.109 eV/atom
Crystal system ... monoclinic
Symmetry ... P2/m, No. 10
Raw total energy ... -6.64 eV/atom

Structure (POSCAR):
```
SrPm2SeO8
1.0
4.3918 0.0000 0.0000
0.0000 5.1905 0.0000
-2.1938 0.0000 6.6191
Sr Pm Se O
1 2 1 8
direct
0.0000 0.0000 0.0000 Sr
0.3581 0.5000 0.7015 Pm
0.6419 0.5000 0.2985 Pm
0.0000 0.0000 0.5000 Se
0.1699 0.5000 0.0012 O
0.1705 0.2590 0.3886 O
0.1705 0.7410 0.3886 O
0.3373 0.0000 0.7430 O
0.6627 0.0000 0.2570 O
0.8295 0.2590 0.6114 O
0.8295 0.7410 0.6114 O
0.8301 0.5000 0.9988 O
```

***

4.
Computed, not measured: a geometry-optimized Be2VCSe structure at the PBE level of DFT.

Summary:
D(E_F) ... 3.976 states/eV/f.u.
Uncorrected formation energy ... 1.822 eV/atom
Crystal system ... tetragonal
Symmetry ... P4/mmm, No. 123
Raw total energy ... -4.03 eV/atom

Structure (POSCAR):
```
Be2VCSe
1.0
3.9468 0.0000 0.0000
0.0000 3.9468 0.0000
0.0000 0.0000 4.6606
Be V C Se
2 1 1 1
direct
0.0000 0.5000 0.0000 Be
0.5000 0.0000 0.0000 Be
0.0000 0.0000 0.5000 V
0.5000 0.5000 0.5000 C
0.0000 0.0000 0.0000 Se
```

***

5.
Computed, not measured: a geometry-optimized DyLuZnIn structure at the PBE level of DFT.

Summary:
D(E_F) ... 3.812 states/eV/f.u.
ΔH_f (0 K) ... -0.377 eV/atom
Crystal system ... cubic
Symmetry ... F-43m, No. 216
Raw total energy ... -3.66 eV/atom

Structure (POSCAR):
```
DyLuZnIn
1.0
0.0000 3.6376 3.6376
3.6376 0.0000 3.6376
3.6376 3.6376 0.0000
Dy Lu Zn In
1 1 1 1
direct
0.0000 0.0000 0.0000 Dy
0.5000 0.5000 0.5000 Lu
0.2500 0.2500 0.2500 Zn
0.7500 0.7500 0.7500 In
```

***

6.
Computed, not measured: a geometry-optimized HfAs2IrW structure at the PBE level of DFT.

Summary:
D(E_F) ... 3.430 states/eV/f.u.
ΔH_f (0 K) ... 1.050 eV/atom
Crystal system ... tetragonal
Symmetry ... P4/mmm, No. 123
Raw total energy ... -7.16 eV/atom

Structure (POSCAR):
```
HfAs2IrW
1.0
4.6863 0.0000 0.0000
0.0000 4.6863 0.0000
0.0000 0.0000 5.1823
Hf As Ir W
1 2 1 1
direct
0.0000 0.0000 0.0000 Hf
0.0000 0.5000 0.5000 As
0.5000 0.0000 0.5000 As
0.5000 0.5000 0.0000 Ir
0.0000 0.0000 0.5000 W
```

***

7.
Computed, not measured: a geometry-optimized TiSe3F structure at the PBE level of DFT.

Summary:
D(E_F) ... 6.694 states/eV/f.u.
Uncorrected formation energy ... -0.386 eV/atom
Crystal system ... cubic
Symmetry ... Pm-3m, No. 221
Raw total energy ... -4.43 eV/atom

Structure (POSCAR):
```
TiSe3F
1.0
4.8246 0.0000 0.0000
0.0000 4.8246 0.0000
0.0000 0.0000 4.8246
Ti Se F
1 3 1
direct
0.0000 0.0000 0.0000 Ti
0.0000 0.0000 0.5000 Se
0.0000 0.5000 0.0000 Se
0.5000 0.0000 0.0000 Se
0.5000 0.5000 0.5000 F
```

***

8.
Computed, not measured: a geometry-optimized VZnCo2 structure at the PBE level of DFT.

Summary:
D(E_F) ... 4.495 states/eV/f.u.
ΔH_f (0 K) ... -0.058 eV/atom
Crystal system ... tetragonal
Symmetry ... P4/mmm, No. 123
Raw total energy ... -6.21 eV/atom

Structure (POSCAR):
```
VZnCo2
1.0
4.0006 0.0000 0.0000
0.0000 4.0006 0.0000
0.0000 0.0000 2.9399
V Zn Co
1 1 2
direct
0.0000 0.0000 0.0000 V
0.5000 0.5000 0.0000 Zn
0.0000 0.5000 0.5000 Co
0.5000 0.0000 0.5000 Co
```